Entry 1:
# Ca3SnTe4

Ca3SnTe4 after structural relaxation (GGA-PBE, the Alexandria database).

abc: 4.525 7.866 7.866
angles: 109.45 90.00 90.00
Fractional positions:
Te 0.500 0.750 0.250
Te 0.000 0.748 0.748
Te 0.500 0.250 0.750
Ca 0.000 0.000 0.500
Sn 0.500 0.000 0.000
Ca 0.500 0.500 0.500
Ca 0.000 0.500 0.000
Te 0.000 0.252 0.252

Values from the calculation:
The value obtained for the total DFT energy (no corrections) is -32.87 eV/cell. The density of states at the Fermi level is 0.00 states/eV/cell. The value obtained for the uncorrected formation energy is -10.301 eV/f.u. The density is 4.71 g cm⁻³. For the relative energy among the computed polymorphs, the calculation gives 0.00 eV/f.u.

---

Entry 2:
# Ac4CuBi2

Ac4CuBi2 after structural relaxation (GGA-PBE, the Alexandria database).

abc: 5.534 5.534 9.857
angles: 106.30 106.30 90.00
Fractional positions:
Cu 0.000 0.000 0.000
Ac 0.826 0.826 0.652
Bi 0.635 0.635 0.271
Ac 0.500 0.000 0.000
Ac 0.000 0.500 0.000
Ac 0.174 0.174 0.348
Bi 0.365 0.365 0.729

Values from the calculation:
The value obtained for the total DFT energy (no corrections) is -31.14 eV/cell. The density of states at the Fermi level is 4.99 states/eV/cell. The density is 8.33 g cm⁻³. The formation energy comes out at -407.0 meV per atom.

---

Entry 3:
# LaY2MgO

LaY2MgO after structural relaxation (GGA-PBE, the Alexandria database).

abc: 4.865 4.865 5.116
angles: 90.00 90.00 90.00
Fractional positions:
Y 0.500 0.000 0.000
Y 0.000 0.500 0.000
Mg 0.500 0.500 0.500
O 0.000 0.000 0.000
La 0.000 0.000 0.500

Values from the calculation:
The value obtained for the total DFT energy (no corrections) is -30.33 eV/cell. The density of states at the Fermi level is 4.48 states/eV/cell. The value obtained for the uncorrected formation energy is -5.919 eV/f.u. The density is 4.90 g cm⁻³.

---

Entry 4:
# LaCuB3

LaCuB3 after structural relaxation (GGA-PBE, the Alexandria database).

abc: 4.753 4.753 4.753
angles: 90.00 90.00 90.00
Fractional positions:
B 0.000 0.500 0.000
La 0.000 0.000 0.000
B 0.500 0.000 0.000
Cu 0.500 0.500 0.500
B 0.000 0.000 0.500

Values from the calculation:
The value obtained for the total DFT energy (no corrections) is -16.14 eV/cell. The density of states at the Fermi level is 3.51 states/eV/cell. The density is 3.63 g cm⁻³. The formation energy comes out at 2583.2 meV per atom. For the relative energy among the computed polymorphs, the calculation gives 8.90 eV/f.u.

---

Entry 5:
# Ho8Te3Pt3Se

Ho8Te3Pt3Se after structural relaxation (GGA-PBE, the Alexandria database).

abc: 8.287 8.287 8.537
angles: 119.04 90.00 120.00
Fractional positions:
Te 0.000 0.500 0.000
Pt 0.500 0.000 0.500
Pt 0.500 0.500 0.500
Ho 0.751 0.501 0.279
Ho 0.250 0.972 0.721
Ho 0.278 0.028 0.279
Ho 0.722 0.972 0.721
Te 0.500 0.500 0.000
Ho 0.249 0.499 0.721
Se 0.000 0.000 0.500
Pt 0.000 0.500 0.500
Ho 0.750 0.028 0.279
Ho 0.264 0.528 0.291
Te 0.000 0.000 0.000
Ho 0.736 0.472 0.709

Values from the calculation:
The value obtained for the total DFT energy (no corrections) is -85.76 eV/cell. The density of states at the Fermi level is 10.06 states/eV/cell. The value obtained for the uncorrected formation energy is -18.106 eV/f.u. The density is 9.35 g cm⁻³.

---

Entry 6:
# ZrTe3Mo

ZrTe3Mo after structural relaxation (GGA-PBE, the Alexandria database).

abc: 5.289 5.289 5.289
angles: 90.00 90.00 90.00
Site moments in Bohr magnetons follow the coordinates.
Fractional positions:
Te 0.000 0.500 0.000  -0.12
Mo 0.000 0.000 0.000  1.43
Zr 0.500 0.500 0.500  1.25
Te 0.500 0.000 0.000  -0.09
Te 0.000 0.000 0.500  -0.09

Values from the calculation:
The value obtained for the total DFT energy (no corrections) is -25.79 eV/cell. The density of states at the Fermi level is 5.54 states/eV/cell. The value obtained for the uncorrected formation energy is 3.017 eV/f.u. The density is 6.40 g cm⁻³. For the relative energy among the computed polymorphs, the calculation gives 0.00 eV/f.u.

---

Entry 7:
# TbNdMgPa

TbNdMgPa after structural relaxation (GGA-PBE, the Alexandria database).

abc: 5.442 5.442 5.442
angles: 60.00 60.00 60.00
Fractional positions:
Mg 0.250 0.250 0.250
Pa 0.750 0.750 0.750
Nd 0.000 0.000 0.000
Tb 0.500 0.500 0.500

Values from the calculation:
The value obtained for the total DFT energy (no corrections) is -19.13 eV/cell. The density of states at the Fermi level is 8.42 states/eV/cell. The density is 8.14 g cm⁻³. The formation energy comes out at 339.1 meV per atom.

---

Entry 8:
# Cs2RbGaHg

Cs2RbGaHg after structural relaxation (GGA-PBE, the Alexandria database).

abc: 7.560 7.560 5.407
angles: 90.00 90.00 90.00
Fractional positions:
Rb 0.500 0.500 0.500
Cs 0.500 0.000 0.000
Ga 0.000 0.000 0.000
Cs 0.000 0.500 0.000
Hg 0.000 0.000 0.500

Values from the calculation:
The value obtained for the total DFT energy (no corrections) is -5.78 eV/cell. The density of states at the Fermi level is 4.80 states/eV/cell. The density is 3.34 g cm⁻³. The formation energy comes out at 44.9 meV per atom.

---

- What is the density in the second record?
  8.33 g cm⁻³